1.
Material: TmBiRu
Method: DFT, PBE-GGA
State: relaxed

Summary:
- Crystal system: tetragonal
- Formation energy from the elements: -224 meV per atom

abc: 3.358 3.358 6.459
angles: 105.07 105.07 90.00
Fractional positions:
Ru: 0.950 0.950 0.899
Tm: 0.590 0.590 0.180
Bi: 0.310 0.310 0.620

=====

2.
Material: Tm5Bi5Ru
Method: DFT, PBE-GGA
State: relaxed

Summary:
- Crystal system: monoclinic
- Formation energy from the elements: -397 meV per atom

abc: 6.081 7.168 9.469
angles: 114.14 90.00 115.10
Fractional positions:
Tm: 0.846 0.692 0.114
Tm: 0.832 0.665 0.709
Tm: 0.500 0.000 0.000
Tm: 0.168 0.335 0.291
Tm: 0.154 0.308 0.886
Bi: 0.711 0.422 0.338
Bi: 0.613 0.225 0.768
Bi: 0.000 0.000 0.500
Bi: 0.387 0.775 0.232
Bi: 0.289 0.578 0.662
Ru: 0.000 0.000 0.000

=====

3.
Material: Tm8BiRu2
Method: DFT, PBE-GGA
State: relaxed

Summary:
- Crystal system: monoclinic
- Formation energy from the elements: -335 meV per atom
- Relative energy among the computed polymorphs: 16 meV per atom

abc: 5.510 7.766 7.766
angles: 112.79 97.41 97.41
Fractional positions:
Tm: 0.914 0.931 0.664
Tm: 0.914 0.664 0.931
Tm: 0.293 0.607 0.607
Tm: 0.500 0.751 0.249
Tm: 0.500 0.249 0.751
Tm: 0.707 0.393 0.393
Tm: 0.086 0.336 0.069
Tm: 0.086 0.069 0.336
Bi: 0.500 0.000 0.000
Ru: 0.000 0.313 0.687
Ru: 0.000 0.687 0.313

=====

4.
Material: TmBiRu
Method: DFT, PBE-GGA
State: relaxed

Summary:
- Crystal system: tetragonal
- Formation energy from the elements: -185 meV per atom

abc: 3.214 3.214 14.779
angles: 96.24 96.24 90.00
Fractional positions:
Ru: 0.273 0.273 0.547
Ru: 0.727 0.727 0.453
Tm: 0.160 0.160 0.321
Tm: 0.840 0.840 0.679
Bi: 0.571 0.571 0.142
Bi: 0.429 0.429 0.858

=====

In the order shown, the computed D(E_F) values come out to 1.2, 4.3, 9.1, 3.3 states/eV/cell.